# CsRb2IO

A relaxed structure of CsRb2IO (PBE-GGA, Alexandria).

abc: 5.643 5.643 5.864
angles: 90.00 90.00 90.00
Element x y z (fractional)
Cs: 0.000 0.000 0.500
I: 0.500 0.500 0.500
O: 0.000 0.000 0.000
Rb: 0.000 0.500 0.000
Rb: 0.500 0.000 0.000

Output
M_tot   0.0 Bohr magnetons per cell
Polymorph energy (0 for the lowest one)   0.000 eV/atom
Symmetry   P4/mmm (123)

=====

# CsRb2IO6

A relaxed structure of CsRb2IO6 (PBE-GGA, Alexandria).

abc: 6.620 6.620 6.620
angles: 62.05 62.05 62.05
Each line ends with the local moment (μB).
Element x y z (fractional)
Cs: 0.500 0.500 0.500  0.00
Rb: 0.243 0.243 0.243  0.00
Rb: 0.758 0.758 0.758  0.00
I: 0.000 0.000 0.000  -0.05
O: 0.267 0.116 0.822  0.28
O: 0.116 0.822 0.267  0.28
O: 0.884 0.178 0.733  0.28
O: 0.733 0.884 0.178  0.28
O: 0.822 0.267 0.116  0.28
O: 0.178 0.733 0.884  0.28

Output
M_tot   2.0 Bohr magnetons per cell
Symmetry   R-3 (148)

=====

# Cs2RbIO

A relaxed structure of Cs2RbIO (PBE-GGA, Alexandria).

abc: 5.975 5.975 5.684
angles: 90.00 90.00 90.00
Element x y z (fractional)
Cs: 0.000 0.500 0.000
Cs: 0.500 0.000 0.000
I: 0.500 0.500 0.500
O: 0.000 0.000 0.000
Rb: 0.000 0.000 0.500

Output
M_tot   0.0 Bohr magnetons per cell
Symmetry   P4/mmm (123)

=====

# CsRbI2O

A relaxed structure of CsRbI2O (PBE-GGA, Alexandria).

abc: 6.998 6.998 5.593
angles: 90.00 90.00 90.00
Each line ends with the local moment (μB).
Element x y z (fractional)
Cs: 0.500 0.500 0.500  0.00
I: 0.000 0.500 0.000  0.16
I: 0.500 0.000 0.000  0.16
O: 0.000 0.000 0.500  1.21
Rb: 0.000 0.000 0.000  0.00

Output
M_tot   2.1 Bohr magnetons per cell
Polymorph energy (0 for the lowest one)   0.000 eV/atom
Symmetry   P4/mmm (123)

=====

# CsRb2IO

A relaxed structure of CsRb2IO (PBE-GGA, Alexandria).

abc: 4.776 9.862 9.442
angles: 90.00 90.00 104.01
Each line ends with the local moment (μB).
Element x y z (fractional)
Cs: 0.502 0.003 0.750  0.00
Cs: 0.498 0.997 0.250  0.00
Rb: 0.133 0.267 0.993  0.00
Rb: 0.867 0.733 0.007  0.00
Rb: 0.133 0.267 0.507  0.00
Rb: 0.867 0.733 0.493  0.00
I: 0.719 0.438 0.750  0.00
I: 0.281 0.562 0.250  0.00
O: 0.000 0.000 0.000  0.09
O: 0.000 0.000 0.500  0.09

Output
M_tot   0.2 Bohr magnetons per cell
Polymorph energy (0 for the lowest one)   0.093 eV/atom
Symmetry   Cmcm (63)

=====

# CsRbI2O

A relaxed structure of CsRbI2O (PBE-GGA, Alexandria).

abc: 7.362 7.362 4.459
angles: 90.00 90.00 90.00
Each line ends with the local moment (μB).
Element x y z (fractional)
Cs: 0.000 0.000 0.000  0.01
I: 0.000 0.500 0.000  0.20
I: 0.500 0.000 0.000  0.20
O: 0.000 0.000 0.500  0.13
Rb: 0.500 0.500 0.500  0.00

Output
M_tot   0.8 Bohr magnetons per cell
Polymorph energy (0 for the lowest one)   0.071 eV/atom
Symmetry   P4/mmm (123)

=====

# CsRb2I6O

A relaxed structure of CsRb2I6O (PBE-GGA, Alexandria).

abc: 8.908 8.908 8.699
angles: 59.20 59.20 90.00
Each line ends with the local moment (μB).
Element x y z (fractional)
Cs: 0.000 0.000 0.000  0.01
I: 0.295 0.295 0.411  -0.02
I: 0.705 0.705 0.589  -0.02
I: 0.280 0.280 0.000  0.08
I: 0.720 0.720 0.000  0.08
I: 0.720 0.280 0.000  0.08
I: 0.280 0.720 0.000  0.08
O: 0.500 0.500 0.000  0.45
Rb: 0.750 0.250 0.500  0.00
Rb: 0.250 0.750 0.500  0.00

Output
M_tot   1.0 Bohr magnetons per cell
Symmetry   I4/mmm (139)

=====

# Cs2RbIO6

A relaxed structure of Cs2RbIO6 (PBE-GGA, Alexandria).

abc: 6.702 6.702 6.702
angles: 60.00 60.00 60.00
Each line ends with the local moment (μB).
Element x y z (fractional)
Cs: 0.750 0.750 0.750  0.00
Cs: 0.250 0.250 0.250  0.00
Rb: 0.500 0.500 0.500  0.00
I: 0.000 0.000 0.000  -0.05
O: 0.200 0.800 0.800  0.28
O: 0.200 0.800 0.200  0.28
O: 0.200 0.200 0.800  0.28
O: 0.800 0.800 0.200  0.28
O: 0.800 0.200 0.200  0.28
O: 0.800 0.200 0.800  0.28

Output
M_tot   2.0 Bohr magnetons per cell
Symmetry   Fm-3m (225)

=====

# Cs2Rb2I2O

A relaxed structure of Cs2Rb2I2O (PBE-GGA, Alexandria).

abc: 4.677 9.409 9.413
angles: 49.93 75.61 75.61
Each line ends with the local moment (μB).
Element x y z (fractional)
Cs: 0.500 0.245 0.755  0.00
Cs: 0.500 0.755 0.245  0.00
Rb: 0.166 0.833 0.835  0.00
Rb: 0.834 0.167 0.165  0.00
I: 0.162 0.337 0.338  0.00
I: 0.838 0.663 0.662  0.00
O: 0.000 0.000 0.000  0.07

Output
M_tot   0.1 Bohr magnetons per cell
Symmetry   C2/m (12)

=====

# Cs2Rb2IO6

A relaxed structure of Cs2Rb2IO6 (PBE-GGA, Alexandria).

abc: 6.697 6.697 6.988
angles: 99.85 99.85 116.24
Each line ends with the local moment (μB).
Element x y z (fractional)
Cs: 0.824 0.176 0.000  0.00
Cs: 0.176 0.824 0.000  0.00
Rb: 0.346 0.654 0.500  0.00
Rb: 0.654 0.346 0.500  0.00
I: 0.000 0.000 0.500  -0.03
O: 0.840 0.840 0.675  0.09
O: 0.048 0.287 0.663  0.19
O: 0.160 0.160 0.325  0.09
O: 0.287 0.048 0.663  0.19
O: 0.952 0.713 0.337  0.19
O: 0.713 0.952 0.337  0.19

Output
M_tot   1.1 Bohr magnetons per cell
Symmetry   C2/m (12)

=====

Uncorrected formation energy
In order: -1.1774 -0.8984 -1.1837 -0.6205 -1.0844 -0.5494 -0.4819 -0.9273 -1.2661 -1.0404
Unit: eV/atom
Uncorrected energy
In order: -0.112 -0.158 -0.111 -0.095 -0.108 -0.093 -0.080 -0.159 -0.108 -0.155
Unit: Ha/atom